[1]
# CaAgSb2

A relaxed CaAgSb2 crystal (PBE, the Alexandria database).

Cell lengths 4.7995, 4.8068, 4.3501 Å; angles 90.00, 90.00, 90.00 degrees
Closest atoms and distances in Å follow each position.
Element x y z (fractional)
Sb  0.0000  0.0000  0.0000  4 Ag 3.24, 4 Ca 3.24, 4 Sb 3.40
Sb  0.5000  0.5000  0.0000  4 Ca 3.24, 4 Ag 3.24, 4 Sb 3.40
Ca  0.0000  0.5000  0.5000  8 Sb 3.24, 4 Ag 3.40
Ag  0.5000  0.0000  0.5000  8 Sb 3.24, 4 Ca 3.40

=====

[2]
# CaAgSb

A relaxed CaAgSb crystal (PBE, the Alexandria database).

Cell lengths 4.5955, 7.5908, 13.0209 Å; angles 89.97, 90.00, 90.00 degrees
Closest atoms and distances in Å follow each position.
Element x y z (fractional)
Ca  0.7500  0.5240  0.3734  5 Sb 3.18-3.24, 2 Ag 3.39
Ca  0.2500  0.9744  0.7023  5 Sb 3.19-3.27, 5 Ag 3.31-3.56
Ca  0.7500  0.0256  0.2977  5 Sb 3.19-3.27, 5 Ag 3.31-3.56
Ca  0.7500  0.6690  0.0792  5 Sb 3.20-3.24, 3 Ag 3.34-3.40
Ca  0.2500  0.4760  0.6266  5 Sb 3.18-3.24, 2 Ag 3.39
Ca  0.2500  0.3310  0.9208  5 Sb 3.20-3.24, 3 Ag 3.34-3.40
Ag  0.2500  0.9985  0.0892  4 Sb 2.88-2.98, 1 Ag 3.13
Ag  0.2500  0.8596  0.4572  4 Sb 2.87-2.96
Ag  0.7500  0.6435  0.7909  4 Sb 2.90-2.92, 1 Ag 3.13
Ag  0.7500  0.1404  0.5428  4 Sb 2.87-2.96
Ag  0.2500  0.3565  0.2091  4 Sb 2.90-2.92, 1 Ag 3.13
Ag  0.7500  0.0015  0.9108  4 Sb 2.88-2.98, 1 Ag 3.13
Sb  0.2500  0.7528  0.9109  5 Ag 2.90-2.98, 4 Ca 3.19-3.24
Sb  0.7500  0.2644  0.7512  3 Ag 2.87-2.92
Sb  0.7500  0.7555  0.5773  4 Ag 2.89-2.96, 3 Ca 3.18-3.19
Sb  0.7500  0.2472  0.0891  5 Ag 2.90-2.98, 4 Ca 3.19-3.24
Sb  0.2500  0.2445  0.4227  4 Ag 2.89-2.96, 3 Ca 3.18-3.19
Sb  0.2500  0.7356  0.2488  3 Ag 2.87-2.92

=====

[3]
# CaAgSb2

A relaxed CaAgSb2 crystal (PBE, the Alexandria database).

Cell lengths 5.7289, 5.7289, 5.7289 Å; angles 131.45, 131.45, 71.10 degrees
Closest atoms and distances in Å follow each position.
Element x y z (fractional)
Sb  0.0000  0.0000  0.0000  4 Ca 3.31, 4 Ag 3.31, 4 Sb 3.33
Sb  0.5000  0.5000  0.0000  4 Ag 3.31, 4 Ca 3.31, 4 Sb 3.33
Ca  0.7500  0.2500  0.5000  8 Sb 3.31, 4 Ag 3.33
Ag  0.2500  0.7500  0.5000  8 Sb 3.31, 4 Ca 3.33

=====

[4]
# CaAgSb2

A relaxed CaAgSb2 crystal (PBE, the Alexandria database).

Cell lengths 3.4811, 3.4811, 8.8442 Å; angles 90.00, 90.00, 90.00 degrees
Closest atoms and distances in Å follow each position.
Element x y z (fractional)
Sb  0.0000  0.0000  0.9699  4 Ca 3.26, 4 Sb 3.48
Sb  0.5000  0.5000  0.3067  4 Ag 2.97
Ca  0.5000  0.5000  0.7287  4 Ag 3.22, 4 Sb 3.26, 4 Ca 3.48
Ag  0.0000  0.0000  0.4947  4 Sb 2.97, 4 Ca 3.22

=====

| no. | total energy (eV/cell) | spin magnetization (μB/atom) |
| --- | --- | --- |
| 1 | -14.6 | 0.00 |
| 2 | -66.4 | 0.00 |
| 3 | -14.3 | 0.00 |
| 4 | -13.6 | 0.00 |